a | Compound: SmErTe3
Source: Alexandria via LeMat-Bulk
Functional: PBE
Structure: relaxed

The space group is Pnma, No. 62. The value obtained for the volume is 31.109 A^3/atom. Its total magnetization is 0.00 μB per atom. As for the density of states at the Fermi level: 1.2 states/eV/cell.

Cell: 8.2420 4.3562 17.3288 Å, 90.00 90.00 90.00°
Atoms (fractional coordinates):
Sm1 0.1346 0.2500 0.2006
Sm2 0.3654 0.7500 0.7006
Sm3 0.6346 0.2500 0.2994
Sm4 0.8654 0.7500 0.7994
Er1 0.2277 0.7500 0.4586
Er2 0.2723 0.2500 0.9586
Er3 0.7277 0.7500 0.0414
Er4 0.7723 0.2500 0.5414
Te1 0.0045 0.2500 0.3934
Te2 0.1171 0.7500 0.0639
Te3 0.1570 0.2500 0.7854
Te4 0.3430 0.7500 0.2854
Te5 0.3829 0.2500 0.5639
Te6 0.4955 0.7500 0.8934
Te7 0.5045 0.2500 0.1066
Te8 0.6171 0.7500 0.4361
Te9 0.6570 0.2500 0.7146
Te10 0.8430 0.7500 0.2146
Te11 0.8829 0.2500 0.9361
Te12 0.9955 0.7500 0.6066


b | Compound: SmErTe3
Source: Alexandria via LeMat-Bulk
Functional: PBE
Structure: relaxed

The space group is Cmcm, No. 63. The value obtained for the volume is 32.548 A^3/atom. Its total magnetization is 0.00 μB per atom. As for the density of states at the Fermi level: 0.3 states/eV/cell.

Cell: 7.4039 7.4039 10.7477 Å, 90.00 90.00 146.47°
Atoms (fractional coordinates):
Sm1 0.2485 0.7515 0.7500
Sm2 0.7515 0.2485 0.2500
Er1 0.0000 0.0000 0.0000
Er2 0.0000 0.0000 0.5000
Te1 0.0914 0.9086 0.2500
Te2 0.3531 0.6469 0.0633
Te3 0.3531 0.6469 0.4367
Te4 0.6469 0.3531 0.5633
Te5 0.6469 0.3531 0.9367
Te6 0.9086 0.0914 0.7500


On energetic grounds, b is preferred over the next structure by 6 meV/atom.


a | Compound: SmEr2Te
Source: Alexandria via LeMat-Bulk
Functional: PBE
Structure: relaxed

The space group is R3m, No. 160. The value obtained for the volume is 31.764 A^3/atom. Its total magnetization is 0.00 μB per atom. As for the density of states at the Fermi level: 4.9 states/eV/cell.

Cell: 10.0826 10.0826 10.0826 Å, 22.09 22.09 22.09°
Atoms (fractional coordinates):
Sm1 0.0000 0.0000 0.0000
Er1 0.2378 0.2378 0.2378
Er2 0.4282 0.4282 0.4282
Te1 0.8332 0.8332 0.8332


b | Compound: SmEr2Te
Source: Alexandria via LeMat-Bulk
Functional: PBE
Structure: relaxed

The space group is Cmcm, No. 63. The value obtained for the volume is 29.438 A^3/atom. Its total magnetization is 0.00 μB per atom. As for the density of states at the Fermi level: 10.9 states/eV/cell.

Cell: 6.3779 6.3779 9.8324 Å, 90.00 90.00 143.93°
Atoms (fractional coordinates):
Sm1 0.0546 0.9454 0.7500
Sm2 0.9454 0.0546 0.2500
Er1 0.3641 0.6359 0.5350
Er2 0.3641 0.6359 0.9650
Er3 0.6359 0.3641 0.0350
Er4 0.6359 0.3641 0.4650
Te1 0.2326 0.7674 0.2500
Te2 0.7674 0.2326 0.7500


c | Compound: SmEr2Te
Source: Alexandria via LeMat-Bulk
Functional: PBE
Structure: relaxed

The space group is P4/mmm, No. 123. The value obtained for the volume is 29.404 A^3/atom. Its total magnetization is 0.00 μB per atom. As for the density of states at the Fermi level: 5.1 states/eV/cell.

Cell: 3.8426 3.8426 7.9657 Å, 90.00 90.00 90.00°
Atoms (fractional coordinates):
Sm1 0.0000 0.0000 0.0000
Er1 0.5000 0.5000 0.2784
Er2 0.5000 0.5000 0.7216
Te1 0.0000 0.0000 0.5000


On energetic grounds, b is preferred over the next structure by 110 meV/atom.


a | Compound: SmEr3Th2
Source: Alexandria via LeMat-Bulk
Functional: PBE
Structure: relaxed

The space group is C2/c, No. 15. The value obtained for the volume is 32.113 A^3/atom. Its total magnetization is 0.00 μB per atom. As for the density of states at the Fermi level: 19.9 states/eV/cell.

Cell: 6.6506 6.6506 9.7429 Å, 90.13 90.13 116.59°
Atoms (fractional coordinates):
Sm1 0.1235 0.8765 0.7500
Sm2 0.8765 0.1235 0.2500
Er1 0.1225 0.3742 0.9159
Er2 0.3742 0.1225 0.4159
Er3 0.3748 0.6252 0.2500
Er4 0.6252 0.3748 0.7500
Er5 0.6258 0.8775 0.5841
Er6 0.8775 0.6258 0.0841
Th1 0.1269 0.3794 0.5793
Th2 0.3794 0.1269 0.0793
Th3 0.6206 0.8731 0.9207
Th4 0.8731 0.6206 0.4207


b | Compound: SmEr3Th2
Source: Alexandria via LeMat-Bulk
Functional: PBE
Structure: relaxed

The space group is P2_1/m, No. 11. The value obtained for the volume is 31.911 A^3/atom. Its total magnetization is 0.00 μB per atom. As for the density of states at the Fermi level: 16.9 states/eV/cell.

Cell: 8.7378 3.6151 12.1225 Å, 90.00 90.07 90.00°
Atoms (fractional coordinates):
Sm1 0.1788 0.2500 0.2408
Sm2 0.8212 0.7500 0.7592
Er1 0.0943 0.2500 0.6081
Er2 0.3596 0.7500 0.0458
Er3 0.3982 0.7500 0.7510
Er4 0.6018 0.2500 0.2490
Er5 0.6404 0.2500 0.9542
Er6 0.9057 0.7500 0.3919
Th1 0.0999 0.2500 0.8993
Th2 0.3587 0.7500 0.4452
Th3 0.6413 0.2500 0.5548
Th4 0.9001 0.7500 0.1007


On energetic grounds, b is preferred over the next structure by 32 meV/atom.


a | Compound: SmEr2Th
Source: Alexandria via LeMat-Bulk
Functional: PBE
Structure: relaxed

The space group is C2/m, No. 12. The value obtained for the volume is 31.679 A^3/atom. Its total magnetization is 0.00 μB per atom. As for the density of states at the Fermi level: 5.5 states/eV/cell.

Cell: 3.5807 3.5807 11.3940 Å, 90.02 90.02 60.16°
Atoms (fractional coordinates):
Sm1 0.0000 0.0000 0.0000
Er1 0.3337 0.3337 0.2555
Er2 0.6663 0.6663 0.7445
Th1 0.0000 0.0000 0.5000


b | Compound: SmEr2Th
Source: Alexandria via LeMat-Bulk
Functional: PBE
Structure: relaxed

The space group is Pmmn, No. 59. The value obtained for the volume is 32.532 A^3/atom. Its total magnetization is 0.00 μB per atom. As for the density of states at the Fermi level: 12.3 states/eV/cell.

Cell: 3.5142 5.6261 13.1633 Å, 90.00 90.00 90.00°
Atoms (fractional coordinates):
Sm1 0.2500 0.2500 0.2028
Sm2 0.7500 0.7500 0.7972
Er1 0.2500 0.2500 0.6839
Er2 0.2500 0.2500 0.9374
Er3 0.7500 0.7500 0.0626
Er4 0.7500 0.7500 0.3161
Th1 0.2500 0.7500 0.5409
Th2 0.7500 0.2500 0.4591


c | Compound: SmEr2Th
Source: Alexandria via LeMat-Bulk
Functional: PBE
Structure: relaxed

The space group is Fm-3m, No. 225. The value obtained for the volume is 32.110 A^3/atom. Its total magnetization is 0.00 μB per atom. As for the density of states at the Fermi level: 8.4 states/eV/cell.

Cell: 5.6633 5.6633 5.6633 Å, 60.00 60.00 60.00°
Atoms (fractional coordinates):
Sm1 0.0000 0.0000 0.0000
Er1 0.2500 0.2500 0.2500
Er2 0.7500 0.7500 0.7500
Th1 0.5000 0.5000 0.5000


d | Compound: SmEr2Th
Source: Alexandria via LeMat-Bulk
Functional: PBE
Structure: relaxed

The space group is R3m, No. 160. The value obtained for the volume is 31.782 A^3/atom. Its total magnetization is 0.00 μB per atom. As for the density of states at the Fermi level: 6.3 states/eV/cell.

Cell: 11.6320 11.6320 11.6320 Å, 17.71 17.71 17.71°
Atoms (fractional coordinates):
Sm1 0.0000 0.0000 0.0000
Er1 0.5808 0.5808 0.5808
Er2 0.7513 0.7513 0.7513
Th1 0.1658 0.1658 0.1658


On energetic grounds, a is preferred over the next structure by 17 meV/atom.


a | Compound: SmEr2Th
Source: Alexandria via LeMat-Bulk
Functional: PBE
Structure: relaxed

The space group is R-3m, No. 166. The value obtained for the volume is 31.639 A^3/atom. Its total magnetization is 0.00 μB per atom. As for the density of states at the Fermi level: 5.2 states/eV/cell.

Cell: 11.6630 11.6630 11.6630 Å, 17.60 17.60 17.60°
Atoms (fractional coordinates):
Sm1 0.0000 0.0000 0.0000
Er1 0.2482 0.2482 0.2482
Er2 0.7518 0.7518 0.7518
Th1 0.5000 0.5000 0.5000


b | Compound: SmEr2Th
Source: Alexandria via LeMat-Bulk
Functional: PBE
Structure: relaxed

The space group is P4/mmm, No. 123. The value obtained for the volume is 31.657 A^3/atom. Its total magnetization is 0.00 μB per atom. As for the density of states at the Fermi level: 5.1 states/eV/cell.

Cell: 5.0521 5.0521 4.9612 Å, 90.00 90.00 90.00°
Atoms (fractional coordinates):
Sm1 0.0000 0.0000 0.0000
Er1 0.0000 0.5000 0.5000
Er2 0.5000 0.0000 0.5000
Th1 0.5000 0.5000 0.0000


On energetic grounds, a is preferred over the next structure by 21 meV/atom.


a | Compound: SmEr4Th2
Source: Alexandria via LeMat-Bulk
Functional: PBE
Structure: relaxed

The space group is Cmcm, No. 63. The value obtained for the volume is 32.220 A^3/atom. Its total magnetization is 0.00 μB per atom. As for the density of states at the Fermi level: 18.1 states/eV/cell.

Cell: 5.5812 5.5812 16.7008 Å, 90.00 90.00 119.88°
Atoms (fractional coordinates):
Sm1 0.0017 0.9983 0.7500
Sm2 0.9983 0.0017 0.2500
Er1 0.0000 0.0000 0.0000
Er2 0.0000 0.0000 0.5000
Er3 0.3320 0.6680 0.1469
Er4 0.3320 0.6680 0.3531
Er5 0.3351 0.6649 0.7500
Er6 0.6649 0.3351 0.2500
Er7 0.6680 0.3320 0.6469
Er8 0.6680 0.3320 0.8531
Th1 0.3340 0.6660 0.5564
Th2 0.3340 0.6660 0.9436
Th3 0.6660 0.3340 0.0564
Th4 0.6660 0.3340 0.4436


b | Compound: SmEr4Th2
Source: Alexandria via LeMat-Bulk
Functional: PBE
Structure: relaxed

The space group is P-1, No. 2. The value obtained for the volume is 32.000 A^3/atom. Its total magnetization is 0.00 μB per atom. As for the density of states at the Fermi level: 11.7 states/eV/cell.

Cell: 3.4668 8.5226 8.6666 Å, 62.43 88.88 81.30°
Atoms (fractional coordinates):
Sm1 0.0000 0.0000 0.0000
Er1 0.0445 0.4498 0.7153
Er2 0.3570 0.8536 0.4233
Er3 0.6430 0.1464 0.5767
Er4 0.9555 0.5502 0.2847
Th1 0.4085 0.7157 0.8674
Th2 0.5915 0.2843 0.1326


On energetic grounds, b is preferred over the next structure by 50 meV/atom.


a | Compound: Sm3Er7Th
Source: Alexandria via LeMat-Bulk
Functional: PBE
Structure: relaxed

The space group is C2/m, No. 12. The value obtained for the volume is 32.435 A^3/atom. Its total magnetization is 0.00 μB per atom. As for the density of states at the Fermi level: 34.1 states/eV/cell.

Cell: 9.8973 9.8973 11.0769 Å, 90.23 90.23 138.88°
Atoms (fractional coordinates):
Sm1 0.0000 0.0000 0.0000
Sm2 0.2503 0.7499 0.2496
Sm3 0.2501 0.7497 0.7504
Sm4 0.5000 0.5000 0.5000
Sm5 0.7499 0.2503 0.2496
Sm6 0.7497 0.2501 0.7504
Er1 0.0870 0.4077 0.4722
Er2 0.0922 0.4128 0.0272
Er3 0.1633 0.3359 0.7497
Er4 0.2501 0.2501 0.2500
Er5 0.3359 0.1633 0.7497
Er6 0.4077 0.0870 0.4722
Er7 0.4128 0.0922 0.0272
Er8 0.5872 0.9078 0.9728
Er9 0.5923 0.9130 0.5278
Er10 0.6641 0.8367 0.2503
Er11 0.7499 0.7499 0.7500
Er12 0.8367 0.6641 0.2503
Er13 0.9078 0.5872 0.9728
Er14 0.9130 0.5923 0.5278
Th1 0.0000 0.0000 0.5000
Th2 0.5000 0.5000 0.0000


b | Compound: Sm3Er7Th
Source: Alexandria via LeMat-Bulk
Functional: PBE
Structure: relaxed

The space group is P3m1, No. 156. The value obtained for the volume is 33.520 A^3/atom. Its total magnetization is 0.00 μB per atom. As for the density of states at the Fermi level: 17.0 states/eV/cell.

Cell: 7.0089 7.0089 8.6670 Å, 90.00 90.00 120.00°
Atoms (fractional coordinates):
Sm1 0.0033 0.5017 0.0000
Sm2 0.4983 0.5017 0.0000
Sm3 0.4983 0.9967 0.0000
Er1 0.1687 0.3375 0.3405
Er2 0.1687 0.8313 0.3405
Er3 0.3345 0.1673 0.6644
Er4 0.6625 0.8313 0.3405
Er5 0.6667 0.3333 0.3382
Er6 0.8327 0.1673 0.6644
Er7 0.8327 0.6655 0.6644
Th1 0.3333 0.6667 0.6642


On energetic grounds, a is preferred over the next structure by 11 meV/atom.


a | Compound: Sm2Er12Th5
Source: Alexandria via LeMat-Bulk
Functional: PBE
Structure: relaxed

The space group is C2/m, No. 12. The value obtained for the volume is 32.089 A^3/atom. Its total magnetization is 0.00 μB per atom. As for the density of states at the Fermi level: 29.8 states/eV/cell.

Cell: 9.9227 9.9227 10.1694 Å, 111.50 111.50 41.44°
Atoms (fractional coordinates):
Sm1 0.2143 0.7857 0.0000
Sm2 0.7857 0.2143 0.0000
Er1 0.0023 0.0023 0.3274
Er2 0.0850 0.5832 0.4843
Er3 0.0966 0.5884 0.1366
Er4 0.4116 0.9034 0.8634
Er5 0.4168 0.9150 0.5157
Er6 0.4714 0.4714 0.7625
Er7 0.5286 0.5286 0.2375
Er8 0.5832 0.0850 0.4843
Er9 0.5884 0.0966 0.1366
Er10 0.9034 0.4116 0.8634
Er11 0.9150 0.4168 0.5157
Er12 0.9977 0.9977 0.6726
Th1 0.1808 0.1808 0.2115
Th2 0.3118 0.3118 0.8180
Th3 0.5000 0.5000 0.5000
Th4 0.6882 0.6882 0.1820
Th5 0.8192 0.8192 0.7885


b | Compound: Sm2Er12Th5
Source: Alexandria via LeMat-Bulk
Functional: PBE
Structure: relaxed

The space group is C2/m, No. 12. The value obtained for the volume is 32.508 A^3/atom. Its total magnetization is 0.00 μB per atom. As for the density of states at the Fermi level: 30.0 states/eV/cell.

Cell: 11.4438 11.4438 8.6092 Å, 107.88 107.88 35.36°
Atoms (fractional coordinates):
Sm1 0.2466 0.7534 0.0000
Sm2 0.7534 0.2466 0.0000
Er1 0.0470 0.0470 0.6894
Er2 0.0477 0.5513 0.2104
Er3 0.1333 0.6493 0.6188
Er4 0.3492 0.3492 0.9191
Er5 0.3507 0.8667 0.3812
Er6 0.4487 0.9523 0.7896
Er7 0.5513 0.0477 0.2104
Er8 0.6493 0.1333 0.6188
Er9 0.6508 0.6508 0.0809
Er10 0.8667 0.3507 0.3812
Er11 0.9523 0.4487 0.7896
Er12 0.9530 0.9530 0.3106
Th1 0.1526 0.1526 0.0920
Th2 0.2517 0.2517 0.5066
Th3 0.5000 0.5000 0.5000
Th4 0.7483 0.7483 0.4934
Th5 0.8474 0.8474 0.9080


On energetic grounds, b is preferred over the next structure by 56 meV/atom.


a | Compound: Sm2ErTh
Source: Alexandria via LeMat-Bulk
Functional: PBE
Structure: relaxed

The space group is R-3m, No. 166. The value obtained for the volume is 32.671 A^3/atom. Its total magnetization is 0.00 μB per atom. As for the density of states at the Fermi level: 6.3 states/eV/cell.

Cell: 11.8792 11.8792 11.8792 Å, 17.39 17.39 17.39°
Atoms (fractional coordinates):
Sm1 0.2491 0.2491 0.2491
Sm2 0.7509 0.7509 0.7509
Er1 0.0000 0.0000 0.0000
Th1 0.5000 0.5000 0.5000


b | Compound: Sm2ErTh
Source: Alexandria via LeMat-Bulk
Functional: PBE
Structure: relaxed

The space group is R3m, No. 160. The value obtained for the volume is 32.626 A^3/atom. Its total magnetization is 0.00 μB per atom. As for the density of states at the Fermi level: 6.4 states/eV/cell.

Cell: 11.7763 11.7763 11.7763 Å, 17.61 17.61 17.61°
Atoms (fractional coordinates):
Sm1 0.0000 0.0000 0.0000
Sm2 0.1677 0.1677 0.1677
Er1 0.7501 0.7501 0.7501
Th1 0.5838 0.5838 0.5838


c | Compound: Sm2ErTh
Source: Alexandria via LeMat-Bulk
Functional: PBE
Structure: relaxed

The space group is Fm-3m, No. 225. The value obtained for the volume is 32.840 A^3/atom. Its total magnetization is 0.00 μB per atom. As for the density of states at the Fermi level: 10.6 states/eV/cell.

Cell: 5.7059 5.7059 5.7059 Å, 60.00 60.00 60.00°
Atoms (fractional coordinates):
Sm1 0.2500 0.2500 0.2500
Sm2 0.7500 0.7500 0.7500
Er1 0.0000 0.0000 0.0000
Th1 0.5000 0.5000 0.5000


d | Compound: Sm2ErTh
Source: Alexandria via LeMat-Bulk
Functional: PBE
Structure: relaxed

The space group is P4/mmm, No. 123. The value obtained for the volume is 32.490 A^3/atom. Its total magnetization is 0.00 μB per atom. As for the density of states at the Fermi level: 4.9 states/eV/cell.

Cell: 5.0561 5.0561 5.0836 Å, 90.00 90.00 90.00°
Atoms (fractional coordinates):
Sm1 0.0000 0.5000 0.0000
Sm2 0.5000 0.0000 0.0000
Er1 0.0000 0.0000 0.5000
Th1 0.5000 0.5000 0.5000


On energetic grounds, b is preferred over the next structure by 16 meV/atom.